(1)
Material: AlCo2Se
Method: DFT, GGA-PBE
State: relaxed

a b c (Å): 4.1204 4.1204 4.7247
angles (deg): 79.12 79.12 41.76
With the nearest neighbours (Å) after each atom.
Sites, in units of the cell vectors:
Co 0.9987 0.9987 0.9965  3 Se 2.43-2.52, 3 Al 2.47-2.52
Co 0.5013 0.5013 0.5035  3 Se 2.43-2.52, 3 Al 2.47-2.52
Al 0.2500 0.2500 0.2500  6 Co 2.47-2.52
Se 0.7500 0.7500 0.7500  6 Co 2.43-2.52

Properties
distance to the lowest polymorph of the same formula = 0.0870 eV per atom
E_form (uncorrected) = -0.004 eV/atom
symmetry = No. 12

---

(2)
Material: La3HoHg2
Method: DFT, GGA-PBE
State: relaxed

a b c (Å): 5.4041 7.0413 9.7767
angles (deg): 90.00 90.00 90.00
With the nearest neighbours (Å) after each atom.
Sites, in units of the cell vectors:
La 0.0000 0.4910 0.9450  3 Hg 3.29-3.32, 5 La 3.49-3.68
La 0.0000 0.9910 0.0550  3 Hg 3.29-3.32, 5 La 3.49-3.68
La 0.5000 0.6872 0.1764  4 Hg 3.25-3.27, 1 Ho 3.53
La 0.5000 0.1872 0.8236  4 Hg 3.25-3.27, 1 Ho 3.53
La 0.0000 0.3084 0.3295  4 Hg 3.11-3.29
La 0.0000 0.8084 0.6705  4 Hg 3.11-3.29
Ho 0.5000 0.5117 0.5488  3 Hg 3.26-3.32, 3 La 3.53-3.62, 2 Ho 3.65
Ho 0.5000 0.0117 0.4512  3 Hg 3.26-3.32, 3 La 3.53-3.62, 2 Ho 3.65
Hg 0.5000 0.7265 0.8441  6 La 3.24-3.32, 1 Ho 3.26
Hg 0.5000 0.2265 0.1559  6 La 3.24-3.32, 1 Ho 3.26
Hg 0.0000 0.2752 0.6469  5 La 3.11-3.29, 2 Ho 3.32
Hg 0.0000 0.7752 0.3531  5 La 3.11-3.29, 2 Ho 3.32

Properties
distance to the lowest polymorph of the same formula = 0.0000 eV per atom
energy of formation from the pure elements = -0.336 eV/atom
symmetry = No. 26

---

(3)
Material: SrScCo
Method: DFT, GGA-PBE
State: relaxed

a b c (Å): 4.7334 4.7334 4.7334
angles (deg): 60.00 60.00 60.00
With the nearest neighbours (Å) after each atom.
Sites, in units of the cell vectors:
Co 0.2500 0.2500 0.2500  4 Sc 2.90, 4 Sr 2.90
Sc 0.0000 0.0000 0.0000  4 Co 2.90
Sr 0.5000 0.5000 0.5000  4 Co 2.90

Properties
distance to the lowest polymorph of the same formula = 0.2410 eV per atom
energy of formation from the pure elements = 0.373 eV/atom
symmetry = No. 216

---

(4)
Material: KMg2Mo
Method: DFT, GGA-PBE
State: relaxed

a b c (Å): 6.6624 6.6624 6.6624
angles (deg): 155.17 129.70 56.89
With the nearest neighbours (Å) after each atom.
Sites, in units of the cell vectors:
K 0.2582 0.7582 0.5000  2 K 2.87, 4 Mg 3.19
Mg 0.9826 0.9826 0.0000  2 Mg 2.87
Mg 0.7311 0.2311 0.5000  2 Mo 2.78, 2 Mg 2.87
Mo 0.5280 0.5280 0.0000  2 Mg 2.78, 2 Mo 2.87

Properties
distance to the lowest polymorph of the same formula = 0.2838 eV per atom
energy of formation from the pure elements = 0.819 eV/atom
symmetry = No. 44